## P
# PBE TiGaIr3, optimized geometry
# N(E_F) = 0.693 states/eV/atom
data_TiGaIr3
_cell_length_a 4.596
_cell_length_b 4.596
_cell_length_c 4.596
_cell_angle_alpha 90.00
_cell_angle_beta 90.00
_cell_angle_gamma 90.00
_space_group_name_H-M_alt 'P m -3 m'
_space_group_IT_number 221
_space_group_name_Hall '-P 4 2 3'
loop_
_atom_site_label
_atom_site_type_symbol
_atom_site_fract_x
_atom_site_fract_y
_atom_site_fract_z
_atom_site_occupancy
Ti1 Ti 0.000 0.000 0.000 1
Ga1 Ga 0.500 0.500 0.500 1
Ir1 Ir 0.000 0.000 0.500 1


## Q
# PBE TiGaIr3, optimized geometry
# N(E_F) = 0.431 states/eV/atom
data_TiGaIr3
_cell_length_a 4.492
_cell_length_b 4.492
_cell_length_c 4.492
_cell_angle_alpha 90.00
_cell_angle_beta 90.00
_cell_angle_gamma 90.00
_space_group_name_H-M_alt 'P m -3 m'
_space_group_IT_number 221
_space_group_name_Hall '-P 4 2 3'
loop_
_atom_site_label
_atom_site_type_symbol
_atom_site_fract_x
_atom_site_fract_y
_atom_site_fract_z
_atom_site_occupancy
Ti1 Ti 0.000 0.000 0.000 1
Ga1 Ga 0.500 0.500 0.500 1
Ir1 Ir 0.000 0.500 0.500 1


Stability ranking, top and bottom: Q is the most stable and P is the least stable.


## P
# PBE Ti3GaIr, optimized geometry
# N(E_F) = 2.051 states/eV/atom
data_Ti3GaIr
_cell_length_a 4.578
_cell_length_b 4.578
_cell_length_c 4.578
_cell_angle_alpha 90.00
_cell_angle_beta 90.00
_cell_angle_gamma 90.00
_space_group_name_H-M_alt 'P m -3 m'
_space_group_IT_number 221
_space_group_name_Hall '-P 4 2 3'
loop_
_atom_site_label
_atom_site_type_symbol
_atom_site_fract_x
_atom_site_fract_y
_atom_site_fract_z
_atom_site_occupancy
Ti1 Ti 0.000 0.000 0.500 1
Ga1 Ga 0.000 0.000 0.000 1
Ir1 Ir 0.500 0.500 0.500 1


## Q
# PBE Ti3GaIr, optimized geometry
# N(E_F) = 2.009 states/eV/atom
data_Ti3GaIr
_cell_length_a 4.746
_cell_length_b 4.746
_cell_length_c 4.746
_cell_angle_alpha 90.00
_cell_angle_beta 90.00
_cell_angle_gamma 90.00
_space_group_name_H-M_alt 'P m -3 m'
_space_group_IT_number 221
_space_group_name_Hall '-P 4 2 3'
loop_
_atom_site_label
_atom_site_type_symbol
_atom_site_fract_x
_atom_site_fract_y
_atom_site_fract_z
_atom_site_occupancy
Ti1 Ti 0.000 0.000 0.500 1
Ga1 Ga 0.500 0.500 0.500 1
Ir1 Ir 0.000 0.000 0.000 1


## R
# PBE Ti3GaIr, optimized geometry
# N(E_F) = 1.018 states/eV/atom
data_Ti3GaIr
_cell_length_a 4.007
_cell_length_b 5.685
_cell_length_c 7.669
_cell_angle_alpha 90.00
_cell_angle_beta 90.00
_cell_angle_gamma 90.00
_space_group_name_H-M_alt 'P m m n'
_space_group_IT_number 59
loop_
_space_group_symop_operation_xyz
'x,y,z'
'-x,-y,-z'
'-x+1/2,-y+1/2,z'
'x+1/2,y+1/2,-z'
'x+1/2,-y,-z'
'-x+1/2,y,z'
'-x,y+1/2,-z'
'x,-y+1/2,z'
loop_
_atom_site_label
_atom_site_type_symbol
_atom_site_fract_x
_atom_site_fract_y
_atom_site_fract_z
_atom_site_occupancy
Ti1 Ti 0.250 0.008 0.222 1
Ti2 Ti 0.250 0.250 0.570 1
Ga1 Ga 0.250 0.250 0.922 1
Ir1 Ir 0.250 0.750 0.626 1


Stability ranking, top and bottom: R is the most stable and P is the least stable.


## P
# PBE Ti6Ga3Ir, optimized geometry
# N(E_F) = 0.977 states/eV/atom
data_Ti6Ga3Ir
_cell_length_a 10.204
_cell_length_b 2.970
_cell_length_c 11.721
_cell_angle_alpha 90.00
_cell_angle_beta 110.56
_cell_angle_gamma 90.00
_space_group_name_H-M_alt 'P 1 21/m 1'
_space_group_IT_number 11
loop_
_space_group_symop_operation_xyz
'x,y,z'
'-x,-y,-z'
'-x,y+1/2,-z'
'x,-y+1/2,z'
loop_
_atom_site_label
_atom_site_type_symbol
_atom_site_fract_x
_atom_site_fract_y
_atom_site_fract_z
_atom_site_occupancy
Ti1 Ti 0.096 0.250 0.146 1
Ti2 Ti 0.122 0.750 0.755 1
Ti3 Ti 0.144 0.250 0.562 1
Ti4 Ti 0.383 0.250 0.959 1
Ti5 Ti 0.400 0.750 0.560 1
Ti6 Ti 0.403 0.750 0.194 1
Ga1 Ga 0.103 0.750 0.359 1
Ga2 Ga 0.175 0.750 0.995 1
Ga3 Ga 0.322 0.250 0.355 1
Ir1 Ir 0.374 0.750 0.768 1


## Q
# PBE Ti6Ga3Ir, optimized geometry
# N(E_F) = 0.789 states/eV/atom
data_Ti6Ga3Ir
_cell_length_a 7.631
_cell_length_b 4.539
_cell_length_c 9.632
_cell_angle_alpha 90.00
_cell_angle_beta 108.77
_cell_angle_gamma 90.00
_space_group_name_H-M_alt 'P 1 21/m 1'
_space_group_IT_number 11
loop_
_space_group_symop_operation_xyz
'x,y,z'
'-x,-y,-z'
'-x,y+1/2,-z'
'x,-y+1/2,z'
loop_
_atom_site_label
_atom_site_type_symbol
_atom_site_fract_x
_atom_site_fract_y
_atom_site_fract_z
_atom_site_occupancy
Ti1 Ti 0.045 0.250 0.412 1
Ti2 Ti 0.158 0.750 0.186 1
Ti3 Ti 0.254 0.250 0.009 1
Ti4 Ti 0.346 0.250 0.308 1
Ti5 Ti 0.352 0.750 0.795 1
Ti6 Ti 0.434 0.250 0.615 1
Ga1 Ga 0.039 0.750 0.883 1
Ga2 Ga 0.138 0.250 0.712 1
Ga3 Ga 0.274 0.750 0.482 1
Ir1 Ir 0.451 0.750 0.097 1


Stability ranking, top and bottom: Q is the most stable and P is the least stable.